Record 1
VASP calculation (PBE-GGA) on a geometry-optimized LaGdGa2Ni4 structure.

The calculation puts the calculated total energy at -42.2 eV/cell. The calculation puts the magnetization at 0.01 μB per cell.

It has space group P-6m2 (No. 187), with a = 4.1877 Å, b = 4.1877 Å, c = 9.2006 Å, α = 90.00°, β = 90.00° and γ = 120.00°. The distinct sites, in fractional coordinates, are La at (0.0000, 0.0000, 0.0000), Gd at (0.6667, 0.3333, 0.5000), Ga at (0.3333, 0.6667, 0.2610), Ni at (0.0000, 0.0000, 0.3121) and Ni at (0.6667, 0.3333, 0.2026).

Record 2
VASP calculation (PBE-GGA) on a geometry-optimized Zr3Al3Ni2Pt structure.

The calculation puts the calculated total energy at -60.9 eV/cell. The calculation puts the magnetization at 0.00 μB per cell.

It has space group P-62m (No. 189), with a = 6.9677 Å, b = 6.9677 Å, c = 3.6077 Å, α = 90.00°, β = 90.00° and γ = 120.00°. The distinct sites, in fractional coordinates, are Zr at (0.0000, 0.4102, 0.0000), Al at (0.0000, 0.7372, 0.5000), Ni at (0.3333, 0.6667, 0.5000) and Pt at (0.0000, 0.0000, 0.0000).